TlSb12Os4 GGA-PBE relaxed; uncorrected formation energy = 0.01 eV/atom; E_tot = -5.679 eV per atom; magnetization = 0.00 μB per cell; space group = Im-3
1.0
-4.728 4.728 4.728
4.728 -4.728 4.728
4.728 4.728 -4.728
Tl Sb Os
1 12 4
Direct
0.000 0.000 0.000 Tl
0.157 0.338 0.495 Sb
0.157 0.662 0.818 Sb
0.182 0.843 0.338 Sb
0.338 0.182 0.843 Sb
0.338 0.495 0.157 Sb
0.495 0.157 0.338 Sb
0.505 0.843 0.662 Sb
0.662 0.505 0.843 Sb
0.662 0.818 0.157 Sb
0.818 0.157 0.662 Sb
0.843 0.338 0.182 Sb
0.843 0.662 0.505 Sb
0.000 0.000 0.500 Os
0.000 0.500 0.000 Os
0.500 0.000 0.000 Os
0.500 0.500 0.500 Os